(1)
Entry from the Alexandria database: a relaxed structure of CdRh (PBE). Values from VASP.

Values from the calculation:
- E_form: -2 meV/atom
- Total energy: -4.135 eV per atom

Cell and atoms, written as Quantum ESPRESSO input:
```
&SYSTEM
  ibrav = 0, nat = 6, ntyp = 2
/
ATOMIC_SPECIES
Cd 112.41 Cd.upf
Rh 102.91 Rh.upf
ATOMIC_POSITIONS angstrom
Cd 0.000 0.000 0.000
Cd 0.000 1.695 9.026
Cd 1.468 0.847 4.513
Rh 0.000 0.000 6.769
Rh 0.000 1.695 2.256
Rh 1.468 0.847 11.282
CELL_PARAMETERS angstrom
2.936 0.000 0.000
-1.468 2.542 0.000
0.000 0.000 13.538
```

(2)
Entry from the Alexandria database: a relaxed structure of LiP2Br (PBE). Values from VASP.

Values from the calculation:
- E above lowest polymorph: 199 meV/atom
- Uncorrected formation energy: -0.30 eV/atom
- Total energy: -3.901 eV per atom

Cell and atoms, written as Quantum ESPRESSO input:
```
&SYSTEM
  ibrav = 0, nat = 8, ntyp = 3
/
ATOMIC_SPECIES
Li 6.94 Li.upf
P 30.97 P.upf
Br 79.90 Br.upf
ATOMIC_POSITIONS angstrom
Li 0.000 0.000 0.000
Li 1.622 4.468 0.000
P 0.000 0.000 3.765
P 0.000 4.468 2.387
P 1.622 0.000 2.387
P 1.622 4.468 3.765
Br 0.000 4.468 7.510
Br 1.622 0.000 7.510
CELL_PARAMETERS angstrom
3.244 0.000 0.000
0.000 8.936 0.000
0.000 0.000 9.261
```

(3)
Entry from the Alexandria database: a relaxed structure of OsPd2Br (PBE). Values from VASP.

Values from the calculation:
- E above lowest polymorph: 0 meV/atom
- Uncorrected formation energy: 1.04 eV/atom
- Total energy: -4.779 eV per atom

Cell and atoms, written as Quantum ESPRESSO input:
```
&SYSTEM
  ibrav = 0, nat = 16, ntyp = 3
/
ATOMIC_SPECIES
Os 190.23 Os.upf
Pd 106.42 Pd.upf
Br 79.90 Br.upf
ATOMIC_POSITIONS angstrom
Os 0.000 0.000 0.000
Os 0.000 3.241 3.241
Os 3.241 0.000 3.241
Os 3.241 3.241 0.000
Pd 1.621 1.621 1.621
Pd 1.621 1.621 4.862
Pd 1.621 4.862 1.621
Pd 1.621 4.862 4.862
Pd 4.862 1.621 1.621
Pd 4.862 1.621 4.862
Pd 4.862 4.862 1.621
Pd 4.862 4.862 4.862
Br 0.000 0.000 3.241
Br 0.000 3.241 0.000
Br 3.241 0.000 0.000
Br 3.241 3.241 3.241
CELL_PARAMETERS angstrom
6.483 0.000 0.000
0.000 6.483 0.000
0.000 0.000 6.483
```

(4)
Entry from the Alexandria database: a relaxed structure of Si2Ag (PBE). Values from VASP.

Values from the calculation:
- E above lowest polymorph: 214 meV/atom
- Uncorrected formation energy: 0.53 eV/atom
- Total energy: -4.037 eV per atom

Cell and atoms, written as Quantum ESPRESSO input:
```
&SYSTEM
  ibrav = 0, nat = 12, ntyp = 2
/
ATOMIC_SPECIES
Si 28.09 Si.upf
Ag 107.87 Ag.upf
ATOMIC_POSITIONS angstrom
Si 1.518 1.518 1.518
Si 1.518 1.518 4.555
Si 1.518 4.555 1.518
Si 1.518 4.555 4.555
Si 4.555 1.518 1.518
Si 4.555 1.518 4.555
Si 4.555 4.555 1.518
Si 4.555 4.555 4.555
Ag 0.000 0.000 0.000
Ag 0.000 3.036 3.036
Ag 3.036 0.000 3.036
Ag 3.036 3.036 0.000
CELL_PARAMETERS angstrom
6.073 0.000 0.000
0.000 6.073 0.000
0.000 0.000 6.073
```

(5)
Entry from the Alexandria database: a relaxed structure of PmPrIrRh (PBE). Values from VASP.

Values from the calculation:
- E_form: -651 meV/atom
- E above lowest polymorph: 0 meV/atom
- Total energy: -7.087 eV per atom

Cell and atoms, written as Quantum ESPRESSO input:
```
&SYSTEM
  ibrav = 0, nat = 8, ntyp = 4
/
ATOMIC_SPECIES
Pm 145.00 Pm.upf
Pr 140.91 Pr.upf
Ir 192.22 Ir.upf
Rh 102.91 Rh.upf
ATOMIC_POSITIONS angstrom
Pm 0.000 0.000 0.000
Pm 0.000 2.006 5.485
Pr 2.123 0.000 7.825
Pr 2.123 2.006 2.340
Ir 2.123 0.000 4.808
Ir 2.123 2.006 10.293
Rh 0.000 0.000 3.043
Rh 0.000 2.006 8.528
CELL_PARAMETERS angstrom
4.245 0.000 0.000
0.000 4.012 0.000
0.000 0.000 10.969
```

(6)
Entry from the Alexandria database: a relaxed structure of Tb3PmSm3Te8 (PBE). Values from VASP.

Values from the calculation:
- Uncorrected formation energy: -1.42 eV/atom
- Total energy: -5.277 eV per atom

Cell and atoms, written as Quantum ESPRESSO input:
```
&SYSTEM
  ibrav = 0, nat = 15, ntyp = 4
/
ATOMIC_SPECIES
Tb 158.93 Tb.upf
Pm 145.00 Pm.upf
Sm 150.36 Sm.upf
Te 127.60 Te.upf
ATOMIC_POSITIONS angstrom
Tb -2.197 -1.268 7.178
Tb -2.197 1.268 14.356
Tb 0.000 2.537 7.178
Pm 0.000 0.000 0.000
Sm -4.393 0.000 10.767
Sm -2.197 1.268 3.589
Sm 2.197 1.268 3.589
Te 0.000 0.000 5.424
Te 0.000 -2.436 9.003
Te -2.109 1.218 9.003
Te -2.109 -1.218 12.532
Te 2.109 1.218 9.003
Te 2.109 -1.218 12.532
Te 0.000 2.436 12.532
Te 0.000 0.000 16.110
CELL_PARAMETERS angstrom
4.393 2.537 7.178
-4.393 2.537 7.178
0.000 -5.073 7.178
```

(7)
Entry from the Alexandria database: a relaxed structure of PaTlIn4 (PBE). Values from VASP.

Values from the calculation:
- E_form: 192 meV/atom
- Total energy: -3.611 eV per atom

Cell and atoms, written as Quantum ESPRESSO input:
```
&SYSTEM
  ibrav = 0, nat = 6, ntyp = 3
/
ATOMIC_SPECIES
Pa 231.04 Pa.upf
Tl 204.38 Tl.upf
In 114.82 In.upf
ATOMIC_POSITIONS angstrom
Pa 0.000 0.000 0.000
Tl 6.466 6.466 6.466
In 3.231 3.231 3.231
In 5.391 5.391 3.231
In 5.391 3.231 5.391
In 3.231 5.391 5.391
CELL_PARAMETERS angstrom
0.000 4.311 4.311
4.311 0.000 4.311
4.311 4.311 0.000
```

(8)
Entry from the Alexandria database: a relaxed structure of YCrRu4 (PBE). Values from VASP.

Values from the calculation:
- E_form: 130 meV/atom
- Total energy: -8.735 eV per atom

Cell and atoms, written as Quantum ESPRESSO input:
```
&SYSTEM
  ibrav = 0, nat = 6, ntyp = 3
/
ATOMIC_SPECIES
Y 88.91 Y.upf
Cr 52.00 Cr.upf
Ru 101.07 Ru.upf
ATOMIC_POSITIONS angstrom
Y 0.000 0.000 0.000
Cr 5.534 5.534 5.534
Ru 2.772 2.772 2.772
Ru 4.607 4.607 2.772
Ru 4.607 2.772 4.607
Ru 2.772 4.607 4.607
CELL_PARAMETERS angstrom
0.000 3.690 3.690
3.690 0.000 3.690
3.690 3.690 0.000
```

(9)
Entry from the Alexandria database: a relaxed structure of K2V4Se7 (PBE). Values from VASP.

Values from the calculation:
- Uncorrected formation energy: -0.71 eV/atom
- Total energy: -5.565 eV per atom

Cell and atoms, written as Quantum ESPRESSO input:
```
&SYSTEM
  ibrav = 0, nat = 13, ntyp = 3
/
ATOMIC_SPECIES
K 39.10 K.upf
V 50.94 V.upf
Se 78.96 Se.upf
ATOMIC_POSITIONS angstrom
K 0.000 3.802 0.000
K 3.292 1.901 0.000
V 0.000 0.000 2.356
V 0.000 0.000 6.439
V 0.000 3.802 4.398
V 3.292 1.901 4.398
Se 0.000 0.000 0.000
Se -1.170 2.026 2.926
Se -2.123 3.677 5.869
Se 2.339 0.000 2.926
Se 1.170 2.026 5.869
Se 4.246 0.000 5.869
Se 2.123 3.677 2.926
CELL_PARAMETERS angstrom
6.585 0.000 0.000
-3.292 5.703 0.000
0.000 0.000 8.796
```

(10)
Entry from the Alexandria database: a relaxed structure of ZrGaAs2Pd (PBE). Values from VASP.

Values from the calculation:
- E_form: 372 meV/atom
- Total energy: -4.842 eV per atom

Cell and atoms, written as Quantum ESPRESSO input:
```
&SYSTEM
  ibrav = 0, nat = 5, ntyp = 4
/
ATOMIC_SPECIES
Zr 91.22 Zr.upf
Ga 69.72 Ga.upf
As 74.92 As.upf
Pd 106.42 Pd.upf
ATOMIC_POSITIONS angstrom
Zr 0.000 0.000 0.000
Ga 2.583 2.583 2.576
As 0.000 2.583 0.000
As 2.583 0.000 0.000
Pd 0.000 0.000 2.576
CELL_PARAMETERS angstrom
5.166 0.000 0.000
0.000 5.166 0.000
0.000 0.000 5.152
```

(11)
Entry from the Alexandria database: a relaxed structure of CaMg2SnCl8 (PBE). Values from VASP.

Values from the calculation:
- Uncorrected formation energy: -1.73 eV/atom
- Total energy: -3.728 eV per atom

Cell and atoms, written as Quantum ESPRESSO input:
```
&SYSTEM
  ibrav = 0, nat = 12, ntyp = 4
/
ATOMIC_SPECIES
Ca 40.08 Ca.upf
Mg 24.30 Mg.upf
Sn 118.71 Sn.upf
Cl 35.45 Cl.upf
ATOMIC_POSITIONS angstrom
Ca 0.000 0.000 0.000
Mg 3.078 1.958 3.206
Mg 3.078 5.977 3.206
Sn 0.000 3.967 0.000
Cl 1.509 1.914 1.214
Cl 1.509 6.020 1.214
Cl 1.769 0.000 4.248
Cl 1.799 3.967 4.194
Cl 4.357 3.967 2.218
Cl 4.387 0.000 2.164
Cl 4.647 1.914 5.198
Cl 4.647 6.020 5.198
CELL_PARAMETERS angstrom
6.194 0.000 0.000
0.000 7.934 0.000
-0.039 0.000 6.412
```

(12)
Entry from the Alexandria database: a relaxed structure of Pr2CoSi3Ni12 (PBE). Values from VASP.

Values from the calculation:
- Uncorrected formation energy: -0.06 eV/atom
- Total energy: -5.740 eV per atom

Cell and atoms, written as Quantum ESPRESSO input:
```
&SYSTEM
  ibrav = 0, nat = 18, ntyp = 4
/
ATOMIC_SPECIES
Pr 140.91 Pr.upf
Co 58.93 Co.upf
Si 28.09 Si.upf
Ni 58.69 Ni.upf
ATOMIC_POSITIONS angstrom
Pr 0.000 0.000 3.758
Pr 0.000 0.000 20.789
Co 0.000 0.000 12.273
Si -1.528 -0.882 8.182
Si -1.528 0.882 16.364
Si 0.000 1.765 8.182
Ni 0.000 -2.108 7.097
Ni -1.826 1.054 7.097
Ni -1.255 -0.724 10.477
Ni -1.826 -1.054 17.450
Ni 0.000 -1.449 14.069
Ni -1.255 0.724 14.069
Ni 1.255 -0.724 10.477
Ni 0.000 1.449 10.477
Ni 1.826 1.054 7.097
Ni 1.255 0.724 14.069
Ni 1.826 -1.054 17.450
Ni 0.000 2.108 17.450
CELL_PARAMETERS angstrom
3.057 1.765 8.182
-3.057 1.765 8.182
0.000 -3.530 8.182
```

(13)
Entry from the Alexandria database: a relaxed structure of LiFe2W (PBE). Values from VASP.

Values from the calculation:
- E_form: 258 meV/atom
- Total energy: -7.690 eV per atom

Cell and atoms, written as Quantum ESPRESSO input:
```
&SYSTEM
  ibrav = 0, nat = 4, ntyp = 3
/
ATOMIC_SPECIES
Li 6.94 Li.upf
Fe 55.84 Fe.upf
W 183.84 W.upf
ATOMIC_POSITIONS angstrom
Li 0.000 0.000 0.000
Fe 1.483 1.483 1.336
Fe 1.483 1.483 4.154
W 0.000 0.000 2.745
CELL_PARAMETERS angstrom
2.967 0.000 0.000
0.000 2.967 0.000
0.000 0.000 5.490
```

(14)
Entry from the Alexandria database: a relaxed structure of Ac4Sn2H (PBE). Values from VASP.

Values from the calculation:
- E above lowest polymorph: 6 meV/atom
- Total energy: -4.490 eV per atom

Cell and atoms, written as Quantum ESPRESSO input:
```
&SYSTEM
  ibrav = 0, nat = 14, ntyp = 3
/
ATOMIC_SPECIES
Ac 227.00 Ac.upf
Sn 118.71 Sn.upf
H 1.01 H.upf
ATOMIC_POSITIONS angstrom
Ac 0.000 0.000 3.312
Ac 0.000 0.000 15.073
Ac 0.000 2.524 0.000
Ac 0.000 2.524 9.192
Ac 2.524 0.000 0.000
Ac 2.524 0.000 9.192
Ac 2.524 2.524 5.880
Ac 2.524 2.524 12.505
Sn 0.000 0.000 6.701
Sn 0.000 0.000 11.684
Sn 2.524 2.524 2.491
Sn 2.524 2.524 15.894
H 0.000 0.000 0.000
H 2.524 2.524 9.192
CELL_PARAMETERS angstrom
5.048 0.000 0.000
0.000 5.048 0.000
0.000 0.000 18.385
```

(15)
Entry from the Alexandria database: a relaxed structure of La5Pb (PBE). Values from VASP.

Values from the calculation:
- E_form: -187 meV/atom
- E above lowest polymorph: 36 meV/atom
- Total energy: -4.912 eV per atom

Cell and atoms, written as Quantum ESPRESSO input:
```
&SYSTEM
  ibrav = 0, nat = 12, ntyp = 2
/
ATOMIC_SPECIES
La 138.91 La.upf
Pb 207.20 Pb.upf
ATOMIC_POSITIONS angstrom
La 0.000 0.000 0.000
La -0.909 0.000 5.334
La 1.227 1.889 2.869
La 2.460 0.000 5.916
La 4.199 0.000 2.184
La 6.544 1.889 0.000
La 5.635 1.889 5.334
La 7.771 0.000 2.869
La 9.004 1.889 5.916
La 10.743 1.889 2.184
Pb 0.626 1.889 8.116
Pb 7.170 0.000 8.116
CELL_PARAMETERS angstrom
13.088 0.000 0.000
0.000 3.778 0.000
-2.239 0.000 8.502
```

(16)
Entry from the Alexandria database: a relaxed structure of Co5Cu4 (PBE). Values from VASP.

Values from the calculation:
- E_form: 276 meV/atom
- E above lowest polymorph: 150 meV/atom
- Total energy: -5.492 eV per atom

Cell and atoms, written as Quantum ESPRESSO input:
```
&SYSTEM
  ibrav = 0, nat = 18, ntyp = 2
/
ATOMIC_SPECIES
Co 58.93 Co.upf
Cu 63.55 Cu.upf
ATOMIC_POSITIONS angstrom
Co -1.227 2.125 1.217
Co -2.295 3.974 3.650
Co 0.000 4.066 0.000
Co 0.000 4.066 2.433
Co 2.454 0.000 1.217
Co 1.227 2.125 3.650
Co 4.589 0.000 3.650
Co 2.295 3.974 1.217
Co 3.522 2.033 0.000
Co 3.522 2.033 2.433
Cu 0.000 0.000 0.000
Cu 0.000 0.000 2.433
Cu -1.134 1.964 3.650
Cu -2.388 4.136 1.217
Cu 2.267 0.000 3.650
Cu 1.134 1.964 1.217
Cu 4.776 0.000 1.217
Cu 2.388 4.136 3.650
CELL_PARAMETERS angstrom
7.043 0.000 0.000
-3.522 6.100 0.000
0.000 0.000 4.866
```

(17)
Entry from the Alexandria database: a relaxed structure of AcH2F5 (PBE). Values from VASP.

Values from the calculation:
- Total energy: -5.267 eV per atom

Cell and atoms, written as Quantum ESPRESSO input:
```
&SYSTEM
  ibrav = 0, nat = 16, ntyp = 3
/
ATOMIC_SPECIES
Ac 227.00 Ac.upf
H 1.01 H.upf
F 19.00 F.upf
ATOMIC_POSITIONS angstrom
Ac 0.000 0.000 0.000
Ac 2.425 2.508 3.754
H 0.000 2.508 1.561
H 0.000 2.508 5.946
H 2.425 0.000 2.193
H 2.425 0.000 5.315
F 0.000 2.508 3.754
F 1.128 2.508 1.376
F 1.128 2.508 6.132
F 1.298 0.000 2.378
F 1.298 0.000 5.130
F 2.425 0.000 0.000
F 3.553 0.000 2.378
F 3.553 0.000 5.130
F 3.723 2.508 1.376
F 3.723 2.508 6.132
CELL_PARAMETERS angstrom
4.851 0.000 0.000
0.000 5.016 0.000
0.000 0.000 7.508
```

(18)
Entry from the Alexandria database: a relaxed structure of LiTbTmTc (PBE). Values from VASP.

Values from the calculation:
- E_form: -46 meV/atom
- Total energy: -5.391 eV per atom

Cell and atoms, written as Quantum ESPRESSO input:
```
&SYSTEM
  ibrav = 0, nat = 16, ntyp = 4
/
ATOMIC_SPECIES
Li 6.94 Li.upf
Tb 158.93 Tb.upf
Tm 168.93 Tm.upf
Tc 98.00 Tc.upf
ATOMIC_POSITIONS angstrom
Li 0.000 0.000 0.000
Li 0.000 3.471 3.471
Li 3.471 0.000 3.471
Li 3.471 3.471 0.000
Tb 1.736 1.736 1.736
Tb 1.736 5.207 5.207
Tb 5.207 1.736 5.207
Tb 5.207 5.207 1.736
Tm 1.736 1.736 5.207
Tm 1.736 5.207 1.736
Tm 5.207 1.736 1.736
Tm 5.207 5.207 5.207
Tc 0.000 0.000 3.471
Tc 0.000 3.471 0.000
Tc 3.471 0.000 0.000
Tc 3.471 3.471 3.471
CELL_PARAMETERS angstrom
6.943 0.000 0.000
0.000 6.943 0.000
0.000 0.000 6.943
```

(19)
Entry from the Alexandria database: a relaxed structure of Al7Cd6 (PBE). Values from VASP.

Values from the calculation:
- E_form: 119 meV/atom
- Total energy: -2.319 eV per atom

Cell and atoms, written as Quantum ESPRESSO input:
```
&SYSTEM
  ibrav = 0, nat = 13, ntyp = 2
/
ATOMIC_SPECIES
Al 26.98 Al.upf
Cd 112.41 Cd.upf
ATOMIC_POSITIONS angstrom
Al 0.000 0.000 0.000
Al 0.000 -1.624 7.376
Al -1.407 0.812 7.376
Al -1.407 -0.812 21.528
Al 1.407 0.812 7.376
Al 1.407 -0.812 21.528
Al 0.000 1.624 21.528
Cd 0.000 0.000 4.765
Cd 0.000 0.000 9.918
Cd 0.000 0.000 12.968
Cd 0.000 0.000 15.936
Cd 0.000 0.000 18.986
Cd 0.000 0.000 24.139
CELL_PARAMETERS angstrom
2.819 1.628 9.635
-2.819 1.628 9.635
0.000 -3.255 9.635
```

(20)
Entry from the Alexandria database: a relaxed structure of TbY2O (PBE). Values from VASP.

Values from the calculation:
- E above lowest polymorph: 0 meV/atom
- Uncorrected formation energy: -1.35 eV/atom
- Total energy: -6.978 eV per atom

Cell and atoms, written as Quantum ESPRESSO input:
```
&SYSTEM
  ibrav = 0, nat = 12, ntyp = 3
/
ATOMIC_SPECIES
Tb 158.93 Tb.upf
Y 88.91 Y.upf
O 16.00 O.upf
ATOMIC_POSITIONS angstrom
Tb 0.000 0.000 0.000
Tb 0.000 2.035 17.474
Tb 1.763 1.018 8.737
Y 0.000 0.000 5.745
Y 0.000 0.000 20.466
Y 0.000 2.035 11.729
Y 0.000 2.035 23.218
Y 1.763 1.018 2.992
Y 1.763 1.018 14.482
O 0.000 0.000 13.105
O 0.000 2.035 4.368
O 1.763 1.018 21.842
CELL_PARAMETERS angstrom
3.525 0.000 0.000
-1.763 3.053 0.000
0.000 0.000 26.211
```

(21)
Entry from the Alexandria database: a relaxed structure of TcRu2Pt (PBE). Values from VASP.

Values from the calculation:
- E_form: 32 meV/atom
- E above lowest polymorph: 108 meV/atom
- Total energy: -8.707 eV per atom

Cell and atoms, written as Quantum ESPRESSO input:
```
&SYSTEM
  ibrav = 0, nat = 12, ntyp = 3
/
ATOMIC_SPECIES
Tc 98.00 Tc.upf
Ru 101.07 Ru.upf
Pt 195.08 Pt.upf
ATOMIC_POSITIONS angstrom
Tc 0.000 0.000 0.000
Tc 0.000 1.580 17.891
Tc 1.369 0.790 8.946
Ru 0.000 0.000 13.256
Ru 0.000 0.000 20.051
Ru 0.000 1.580 4.311
Ru 0.000 1.580 11.105
Ru 1.369 0.790 2.159
Ru 1.369 0.790 22.202
Pt 0.000 0.000 6.639
Pt 0.000 1.580 24.530
Pt 1.369 0.790 15.585
CELL_PARAMETERS angstrom
2.737 0.000 0.000
-1.369 2.370 0.000
0.000 0.000 26.837
```